LaIn3Rh: relaxed, PBE-GGA.

Its formation energy from the elements is -338 meV/atom. The calculation puts the density of states at the Fermi level at 14.1 states/eV per cell. As for the magnetic moment: 0.000 μB per atom. The space-group type is Pnma (62). Its distance to the lowest polymorph of the same formula is 193 meV/atom.

Lattice parameters (Å, degrees): 7.1938 10.2363 7.2580 90.00 90.00 90.00
Positions (direct):
La 0.0019 0.2500 0.0183
La 0.4981 0.7500 0.5183
La 0.5019 0.2500 0.4817
La 0.9981 0.7500 0.9817
In 0.0032 0.2500 0.5147
In 0.2473 0.0073 0.7527
In 0.2473 0.4927 0.7527
In 0.2527 0.5073 0.2527
In 0.2527 0.9927 0.2527
In 0.4968 0.7500 0.0147
In 0.5032 0.2500 0.9853
In 0.7473 0.0073 0.7473
In 0.7473 0.4927 0.7473
In 0.7527 0.5073 0.2473
In 0.7527 0.9927 0.2473
In 0.9968 0.7500 0.4853
Rh 0.0000 0.0000 0.5000
Rh 0.0000 0.5000 0.5000
Rh 0.5000 0.0000 0.0000
Rh 0.5000 0.5000 0.0000